Entry 1:
DFT (SCAN) results for a crystal of RbPOsO2 relaxed with PBEsol.

Cell and atoms, written as extended XYZ:
```
5
Lattice="-1.886 -2.418 -2.628 3.350 -0.169 -2.249 1.410 -3.683 2.377" Properties=species:S:1:pos:R:3 pbc="T T T"
P 0.705 -1.842 1.188
Os 0.000 0.000 0.000
O 1.675 -0.084 -1.124
O -0.943 -1.209 -1.314
Rb 1.437 -3.135 -1.250
```

Summary:
Fermi-level density of states   3.07 states/eV/cell
Calculated density   7.49 g cm⁻³
DFT total energy   -117.120 eV per cell
Raw formation energy   -328 meV per atom
Space-group type   P4/mmm (123)



Entry 2:
DFT (SCAN) results for a crystal of P2OsSO relaxed with PBEsol.

Cell and atoms, written as extended XYZ:
```
5
Lattice="-3.558 2.003 1.607 1.192 -1.259 4.208 2.382 3.848 0.477" Properties=species:S:1:pos:R:3 pbc="T T T"
P 1.191 1.924 0.239
P 0.596 -0.630 2.104
S -1.779 1.002 0.803
Os 0.000 0.000 0.000
O 0.008 2.296 3.146
```

Summary:
Fermi-level density of states   4.20 states/eV/cell
Calculated density   5.49 g cm⁻³
DFT total energy   -102.861 eV per cell
Raw formation energy   1135 meV per atom
Space-group type   P4/mmm (123)



Entry 3:
DFT (SCAN) results for a crystal of POsSeO2 relaxed with PBEsol.

Cell and atoms, written as extended XYZ:
```
5
Lattice="-1.641 -0.035 -3.187 1.245 -3.307 -0.605 -4.507 -2.125 2.344" Properties=species:S:1:pos:R:3 pbc="T T T"
P -2.254 -1.063 1.172
Os -2.452 -2.733 -0.724
O 0.622 -1.653 -0.302
O -0.820 -0.017 -1.594
Se 0.000 0.000 0.000
```

Summary:
Fermi-level density of states   3.62 states/eV/cell
Calculated density   7.79 g cm⁻³
DFT total energy   -111.307 eV per cell
Raw formation energy   702 meV per atom
Space-group type   P4/mmm (123)



Entry 4:
DFT (SCAN) results for a crystal of P2OsSeO relaxed with PBEsol.

Cell and atoms, written as extended XYZ:
```
5
Lattice="3.429 0.000 0.000 0.000 4.630 0.000 0.000 0.000 4.630" Properties=species:S:1:pos:R:3 pbc="T T T"
P 0.000 0.000 2.315
P 0.000 2.315 0.000
Os 1.715 2.315 2.315
O 1.715 0.000 0.000
Se 0.000 0.000 0.000
```

Summary:
Fermi-level density of states   2.66 states/eV/cell
Calculated density   7.84 g cm⁻³
DFT total energy   -113.244 eV per cell
Raw formation energy   1149 meV per atom
Space-group type   P4/mmm (123)



Entry 5:
DFT (SCAN) results for a crystal of TlPOsO2 relaxed with PBEsol.

Cell and atoms, written as extended XYZ:
```
5
Lattice="3.814 0.000 0.000 0.000 3.814 0.000 0.000 0.000 5.129" Properties=species:S:1:pos:R:3 pbc="T T T"
P 0.000 0.000 2.564
Tl 1.907 1.907 2.564
Os 0.000 0.000 0.000
O 0.000 1.907 0.000
O 1.907 0.000 0.000
```

Summary:
Fermi-level density of states   3.22 states/eV/cell
Calculated density   10.18 g cm⁻³
DFT total energy   -169.019 eV per cell
Raw formation energy   -384 meV per atom
Space-group type   P4/mmm (123)



Entry 6:
DFT (SCAN) results for a crystal of OsPb3O relaxed with PBEsol.

Cell and atoms, written as extended XYZ:
```
5
Lattice="5.131 0.000 0.000 0.000 5.131 0.000 0.000 0.000 5.131" Properties=species:S:1:pos:R:3 pbc="T T T"
Pb 0.000 2.565 0.000
Pb 0.000 0.000 2.565
Pb 2.565 0.000 0.000
Os 0.000 0.000 0.000
O 2.565 2.565 2.565
```

Summary:
Calculated density   10.18 g cm⁻³
DFT total energy   -303.246 eV per cell
Raw formation energy   442 meV per atom
Space-group type   Pm-3m (221)



Entry 7:
DFT (SCAN) results for a crystal of OsPbO3 relaxed with PBEsol.

Cell and atoms, written as extended XYZ:
```
20
Lattice="-0.061 6.178 3.848 -5.485 4.721 -0.783 -4.828 0.893 5.373" Properties=species:S:1:pos:R:3 pbc="T T T"
Os -6.453 4.281 3.350
Os -6.484 7.370 5.274
Os -3.741 5.010 5.665
Os -4.070 6.924 2.587
Pb -1.327 4.563 2.979
Pb -1.297 1.474 1.055
Pb -3.711 1.921 3.741
Pb -4.039 3.834 0.663
O -5.783 8.954 6.184
O -9.778 8.734 6.473
O -7.896 8.386 4.379
O -7.920 10.794 5.879
O -3.189 6.006 4.074
O -5.327 7.846 3.769
O -7.664 9.302 8.278
O -7.185 5.786 4.364
O -5.303 5.438 2.269
O -5.047 3.946 4.669
O -7.640 6.894 6.778
O -5.071 6.354 6.169
```

Summary:
Fermi-level density of states   13.36 states/eV/cell
Calculated density   10.85 g cm⁻³
DFT total energy   -685.878 eV per cell
Raw formation energy   -1023 meV per atom
Space-group type   Fd-3m (227)



Entry 8:
DFT (SCAN) results for a crystal of OsPdO2 relaxed with PBEsol.

Cell and atoms, written as extended XYZ:
```
4
Lattice="2.796 0.000 0.000 1.398 2.421 0.000 1.398 0.807 6.703" Properties=species:S:1:pos:R:3 pbc="T T T"
Os 2.796 1.614 3.351
O 4.194 2.421 2.040
O 1.398 0.807 4.663
Pd 0.000 0.000 0.000
```

Summary:
Fermi-level density of states   1.70 states/eV/cell
Calculated density   12.03 g cm⁻³
DFT total energy   -118.643 eV per cell
Raw formation energy   -382 meV per atom
Space-group type   R-3m (166)



Entry 9:
DFT (SCAN) results for a crystal of TiOs2PdO relaxed with PBEsol.

Cell and atoms, written as extended XYZ:
```
5
Lattice="-0.889 -3.430 -0.347 4.493 -1.215 0.492 -0.593 -0.316 4.632" Properties=species:S:1:pos:R:3 pbc="T T T"
Os -0.296 -0.158 2.316
Os 2.246 -0.607 0.246
O -0.445 -1.715 -0.174
Pd 1.506 -2.480 2.388
Ti 0.000 0.000 0.000
```

Summary:
Fermi-level density of states   4.66 states/eV/cell
Calculated density   11.73 g cm⁻³
DFT total energy   -194.195 eV per cell
Raw formation energy   920 meV per atom
Space-group type   P4/mmm (123)



Entry 10:
DFT (SCAN) results for a crystal of RbOs2O6 relaxed with PBEsol.

Cell and atoms, written as extended XYZ:
```
18
Lattice="7.172 0.000 0.000 3.586 6.211 0.000 3.586 2.070 5.856" Properties=species:S:1:pos:R:3 pbc="T T T"
Rb 7.172 4.141 2.928
Rb 10.757 6.211 4.392
Os 1.793 1.035 0.732
Os 5.379 1.035 0.732
Os 3.586 2.070 3.660
Os 3.586 4.141 0.732
O 4.950 1.283 2.578
O 4.950 5.423 1.114
O 4.950 2.858 0.350
O 3.586 0.495 0.350
O 3.586 3.645 2.578
O 2.222 1.283 2.578
O 2.222 2.858 0.350
O 7.172 6.706 4.742
O 7.172 1.575 1.114
O 9.393 2.858 4.742
O 4.950 2.858 4.742
O 9.393 5.423 1.114
```

Summary:
Fermi-level density of states   7.64 states/eV/cell
Calculated density   7.16 g cm⁻³
DFT total energy   -425.889 eV per cell
Raw formation energy   -1229 meV per atom
Space-group type   Fd-3m (227)



Entry 11:
DFT (SCAN) results for a crystal of Rb2SnOsO relaxed with PBEsol.

Cell and atoms, written as extended XYZ:
```
5
Lattice="3.705 0.000 0.000 0.000 6.051 0.000 0.000 0.000 6.051" Properties=species:S:1:pos:R:3 pbc="T T T"
O 0.000 0.000 0.000
Os 1.852 0.000 0.000
Sn 1.852 3.026 3.026
Rb 0.000 0.000 3.026
Rb 0.000 3.026 0.000
```

Summary:
Fermi-level density of states   3.63 states/eV/cell
Calculated density   6.07 g cm⁻³
DFT total energy   -155.240 eV per cell
Raw formation energy   54 meV per atom
Space-group type   P4/mmm (123)



Entry 12:
DFT (SCAN) results for a crystal of OsRu3O relaxed with PBEsol.

Cell and atoms, written as extended XYZ:
```
5
Lattice="-2.708 -1.679 3.350 -2.609 -2.121 -3.173 2.689 -3.749 0.295" Properties=species:S:1:pos:R:3 pbc="T T T"
Ru -1.305 -1.061 -1.587
Ru 1.345 -1.875 0.147
Ru -1.354 -0.840 1.675
Os 0.000 0.000 0.000
O -1.314 -3.775 0.236
```

Summary:
Fermi-level density of states   5.46 states/eV/cell
Calculated density   8.56 g cm⁻³
DFT total energy   -171.503 eV per cell
Raw formation energy   2217 meV per atom
Space-group type   Pm-3m (221)